Entry 1:
Pm3Dy2Ho4 after structural relaxation. Source: Alexandria, functional PBE.

Unit cell a=6.1749 b=6.1813 c=9.4347 alpha=109.00 beta=90.00 gamma=119.94
With the nearest neighbours (Å) after each atom.
Fractional positions:
Pm 0.0000 0.0000 0.0000  8 Ho 3.56-3.57, 2 Dy 3.57, 2 Pm 3.57
Pm 0.1120 0.5563 0.3331  6 Ho 3.56-3.58, 4 Dy 3.57, 2 Pm 3.57
Pm 0.8880 0.4437 0.6669  6 Ho 3.56-3.58, 4 Dy 3.57, 2 Pm 3.57
Dy 0.4450 0.2226 0.3335  6 Ho 3.56-3.57, 5 Pm 3.57, 1 Dy 3.57
Dy 0.5550 0.7774 0.6665  6 Ho 3.56-3.57, 5 Pm 3.57, 1 Dy 3.57
Ho 0.2225 0.1124 0.6672  5 Pm 3.56-3.58, 3 Ho 3.56-3.57, 4 Dy 3.56-3.57
Ho 0.3344 0.6671 0.0001  5 Ho 3.56-3.58, 5 Pm 3.56-3.57, 2 Dy 3.56-3.57
Ho 0.6656 0.3329 0.9999  5 Ho 3.56-3.58, 5 Pm 3.56-3.57, 2 Dy 3.56-3.57
Ho 0.7775 0.8876 0.3328  5 Pm 3.56-3.58, 3 Ho 3.56-3.57, 4 Dy 3.56-3.57

Values from the calculation:
magnetic moment: 0.00 μB per formula unit
energy: -4.624 eV per atom
symmetry: P-1

***

Entry 2:
Pm4DyHo5 after structural relaxation. Source: Alexandria, functional PBE.

Unit cell a=8.7595 b=8.7595 c=11.1695 alpha=90.02 beta=90.02 gamma=23.23
With the nearest neighbours (Å) after each atom.
Fractional positions:
Pm 0.0308 0.0308 0.2497  4 Ho 3.31-3.34, 2 Dy 3.35, 4 Pm 3.53-3.65
Pm 0.3443 0.3443 0.2500  4 Pm 3.53-3.65, 7 Ho 3.67-3.87, 1 Dy 3.86
Pm 0.6557 0.6557 0.7500  4 Pm 3.53-3.65, 7 Ho 3.67-3.87, 1 Dy 3.86
Pm 0.9692 0.9692 0.7503  4 Ho 3.31-3.34, 2 Dy 3.35, 4 Pm 3.53-3.65
Dy 0.5000 0.5000 0.5000  4 Pm 3.35, 4 Ho 3.51, 2 Dy 3.53
Ho 0.1735 0.1735 0.0511  2 Pm 3.31-3.68, 6 Ho 3.36-3.53
Ho 0.1737 0.1737 0.4485  2 Pm 3.31-3.67, 4 Ho 3.36-3.53, 2 Dy 3.51
Ho 0.5000 0.5000 0.0000  4 Pm 3.34, 6 Ho 3.51-3.53
Ho 0.8263 0.8263 0.5515  2 Pm 3.31-3.67, 4 Ho 3.36-3.53, 2 Dy 3.51
Ho 0.8265 0.8265 0.9489  2 Pm 3.31-3.68, 6 Ho 3.36-3.53

Values from the calculation:
magnetic moment: 0.00 μB per formula unit
energy: -4.460 eV per atom
symmetry: C2/m
excess energy over the best structure of this formula in the dataset: 0 meV/atom

***

Entry 3:
PmDy4Ho5 after structural relaxation. Source: Alexandria, functional PBE.

Unit cell a=6.1362 b=7.0807 c=7.9180 alpha=77.12 beta=75.09 gamma=73.14
With the nearest neighbours (Å) after each atom.
Fractional positions:
Pm 0.0000 0.0000 0.0000  8 Ho 3.54-3.55, 4 Dy 3.55
Dy 0.2002 0.3005 0.6000  4 Dy 3.53-3.54, 7 Ho 3.53-3.55, 1 Pm 3.55
Dy 0.4008 0.5993 0.2008  4 Dy 3.53-3.54, 7 Ho 3.54-3.55, 1 Pm 3.55
Dy 0.8000 0.2003 0.4007  6 Ho 3.53-3.55, 5 Dy 3.53-3.55, 1 Pm 3.55
Dy 0.8005 0.6993 0.4007  5 Dy 3.53-3.55, 6 Ho 3.53-3.54, 1 Pm 3.55
Ho 0.0003 0.5000 0.9999  5 Dy 3.54-3.55, 2 Pm 3.54, 5 Ho 3.54-3.55
Ho 0.2008 0.7994 0.6000  5 Ho 3.53-3.55, 6 Dy 3.53-3.55, 1 Pm 3.54
Ho 0.4002 0.0999 0.2007  6 Dy 3.54, 4 Ho 3.54-3.55, 2 Pm 3.54-3.55
Ho 0.5996 0.4007 0.7994  6 Ho 3.53-3.55, 5 Dy 3.53-3.55, 1 Pm 3.54
Ho 0.6001 0.8999 0.7996  4 Dy 3.53-3.55, 6 Ho 3.54-3.55, 2 Pm 3.54

Values from the calculation:
magnetic moment: 0.00 μB per formula unit
energy: -4.587 eV per atom
symmetry: P1

***

Entry 4:
PmDy2Ho8 after structural relaxation. Source: Alexandria, functional PBE.

Unit cell a=9.3231 b=9.3231 c=9.3231 alpha=145.84 beta=128.65 gamma=63.13
With the nearest neighbours (Å) after each atom.
Fractional positions:
Pm 0.0000 0.0000 0.0000  8 Ho 3.24-3.63
Dy 0.3002 0.3002 0.0000  10 Ho 3.35-3.58
Dy 0.6998 0.6998 0.0000  10 Ho 3.35-3.58
Ho 0.1536 0.8606 0.2930  1 Pm 3.24, 4 Ho 3.35-3.56, 3 Dy 3.35-3.48
Ho 0.1628 0.6628 0.5000  2 Dy 3.50, 8 Ho 3.51-3.64, 2 Pm 3.77
Ho 0.2946 0.5000 0.7946  7 Ho 3.32-3.52, 2 Dy 3.58, 2 Pm 3.63
Ho 0.4323 0.1394 0.2930  1 Pm 3.24, 4 Ho 3.35-3.56, 3 Dy 3.35-3.48
Ho 0.5677 0.8606 0.7070  1 Pm 3.24, 4 Ho 3.35-3.56, 3 Dy 3.35-3.48
Ho 0.7054 0.5000 0.2054  7 Ho 3.32-3.52, 2 Dy 3.58, 2 Pm 3.63
Ho 0.8372 0.3372 0.5000  2 Dy 3.50, 8 Ho 3.51-3.64, 2 Pm 3.77
Ho 0.8464 0.1394 0.7070  1 Pm 3.24, 4 Ho 3.35-3.56, 3 Dy 3.35-3.48

Values from the calculation:
magnetic moment: 0.00 μB per formula unit
energy: -4.483 eV per atom
symmetry: Immm
excess energy over the best structure of this formula in the dataset: 0 meV/atom